[1]
A plane-wave DFT calculation with PBE was carried out for a relaxed Er5In2Bi2 crystal.

Cell: 8.1407 8.1367 8.8381 Å, 117.41 90.00 90.00°
Atoms (fractional coordinates):
Er1 0.0000 0.0000 0.0000
Er2 0.5000 0.5000 0.0000
Er3 0.8328 0.8014 0.2653
Er4 0.1672 0.4639 0.2653
Er5 0.3328 0.9639 0.2653
Er6 0.6672 0.3014 0.2653
Er7 0.1672 0.1986 0.7347
Er8 0.8328 0.5361 0.7347
Er9 0.6672 0.0361 0.7347
Er10 0.3328 0.6986 0.7347
In1 0.6298 0.8694 0.0000
In2 0.3702 0.1306 0.0000
In3 0.1298 0.6306 0.0000
In4 0.8702 0.3694 0.0000
Bi1 0.0000 0.2060 0.4120
Bi2 0.5000 0.7060 0.4120
Bi3 0.0000 0.7940 0.5880
Bi4 0.5000 0.2940 0.5880

Properties
Space group: Cmce
DFT formation energy (eV/atom): -0.61
D(E_F) (states/eV/atom): 0.674

[2]
A plane-wave DFT calculation with PBE was carried out for a relaxed ErInBi2 crystal.

Cell: 4.1773 4.1773 6.7083 Å, 90.00 90.00 90.00°
Atoms (fractional coordinates):
In1 0.5000 0.5000 0.5000
Bi1 0.0000 0.0000 0.7627
Bi2 0.0000 0.0000 0.2373
Er1 0.5000 0.5000 0.0000

Properties
Space group: P4/mmm
Relative energy among the computed polymorphs (meV per atom): 0
DFT formation energy (eV/atom): -0.35
D(E_F) (states/eV/atom): 0.760

The highest D(E_F) belongs to which entry?
ErInBi2

The highest D(E_F) belongs to which entry?
ErInBi2

Copy entry 2 word for word.
A plane-wave DFT calculation with PBE was carried out for a relaxed ErInBi2 crystal.

Cell: 4.1773 4.1773 6.7083 Å, 90.00 90.00 90.00°
Atoms (fractional coordinates):
In1 0.5000 0.5000 0.5000
Bi1 0.0000 0.0000 0.7627
Bi2 0.0000 0.0000 0.2373
Er1 0.5000 0.5000 0.0000

Properties
Space group: P4/mmm
Relative energy among the computed polymorphs (meV per atom): 0
DFT formation energy (eV/atom): -0.35
D(E_F) (states/eV/atom): 0.760

Please write out number 1 again, unchanged.
A plane-wave DFT calculation with PBE was carried out for a relaxed Er5In2Bi2 crystal.

Cell: 8.1407 8.1367 8.8381 Å, 117.41 90.00 90.00°
Atoms (fractional coordinates):
Er1 0.0000 0.0000 0.0000
Er2 0.5000 0.5000 0.0000
Er3 0.8328 0.8014 0.2653
Er4 0.1672 0.4639 0.2653
Er5 0.3328 0.9639 0.2653
Er6 0.6672 0.3014 0.2653
Er7 0.1672 0.1986 0.7347
Er8 0.8328 0.5361 0.7347
Er9 0.6672 0.0361 0.7347
Er10 0.3328 0.6986 0.7347
In1 0.6298 0.8694 0.0000
In2 0.3702 0.1306 0.0000
In3 0.1298 0.6306 0.0000
In4 0.8702 0.3694 0.0000
Bi1 0.0000 0.2060 0.4120
Bi2 0.5000 0.7060 0.4120
Bi3 0.0000 0.7940 0.5880
Bi4 0.5000 0.2940 0.5880

Properties
Space group: Cmce
DFT formation energy (eV/atom): -0.61
D(E_F) (states/eV/atom): 0.674